1.
# PBE Pr3TmPu2Te6, optimized geometry
data_Pr3TmPu2Te6
_chemical_formula_sum 'Pr6 Tm2 Pu4 Te12'
_symmetry_space_group_name_H-M 'C 1 2/m 1'
_symmetry_Int_Tables_number 12
_symmetry_space_group_name_Hall '-C 2y'
_cell_length_a 19.499
_cell_length_b 4.431
_cell_length_c 8.978
_cell_angle_alpha 90.00
_cell_angle_beta 104.00
_cell_angle_gamma 90.00
loop_
_atom_site_label
_atom_site_fract_x
_atom_site_fract_y
_atom_site_fract_z
Pr1 0.000 0.000 0.000
Pr2 0.169 0.500 0.335
Tm1 0.000 0.000 0.500
Pu1 0.166 0.500 0.834
Te1 0.000 0.500 0.262
Te2 0.161 0.000 0.586
Te3 0.169 0.000 0.079
# Magnetization (μB/f.u.): 11.86
# Calculated total energy (eV per atom): -6.82
# Formation energy from raw total energies (eV per atom): -1.2970

2.
# PBE KCo2SnCl8, optimized geometry
data_KCo2SnCl8
_chemical_formula_sum 'K3 Co6 Sn3 Cl24'
_symmetry_space_group_name_H-M 'R -3'
_symmetry_Int_Tables_number 148
_symmetry_space_group_name_Hall '-R 3'
_cell_length_a 6.5158
_cell_length_b 6.5158
_cell_length_c 28.4172
_cell_angle_alpha 90.00
_cell_angle_beta 90.00
_cell_angle_gamma 120.00
loop_
_atom_site_label
_atom_site_fract_x
_atom_site_fract_y
_atom_site_fract_z
K1 0.0000 0.0000 0.0000
Co1 0.0000 0.0000 0.2513
Sn1 0.0000 0.0000 0.5000
Cl1 0.0000 0.0000 0.3278
Cl2 0.0011 0.3522 0.4408
# Magnetization (μB/f.u.): 7.02
# Calculated total energy (eV per atom): -3.74
# Formation energy from raw total energies (eV per atom): -0.9010

3.
# PBE TbPu3Pb4, optimized geometry
data_TbPu3Pb4
_chemical_formula_sum 'Tb1 Pu3 Pb4'
_symmetry_space_group_name_H-M 'P m m m'
_symmetry_Int_Tables_number 47
_symmetry_space_group_name_Hall '-P 2 2'
_cell_length_a 4.532
_cell_length_b 4.998
_cell_length_c 10.001
_cell_angle_alpha 90.00
_cell_angle_beta 90.00
_cell_angle_gamma 90.00
loop_
_atom_site_label
_atom_site_fract_x
_atom_site_fract_y
_atom_site_fract_z
Tb1 0.000 0.000 0.000
Pu1 0.000 0.000 0.500
Pu2 0.000 0.500 0.252
Pb1 0.500 0.000 0.249
Pb2 0.500 0.500 0.000
Pb3 0.500 0.500 0.500
# Calculated formation energy (eV/f.u.): -1.39
# Magnetization (μB/f.u.): 6.57
# Calculated total energy (eV per atom): -7.98

4.
# PBE Ta4VTc5, optimized geometry
data_Ta4VTc5
_chemical_formula_sum 'Ta4 V1 Tc5'
_symmetry_space_group_name_H-M 'P 4/m m m'
_symmetry_Int_Tables_number 123
_symmetry_space_group_name_Hall '-P 4 2'
_cell_length_a 3.161
_cell_length_b 3.161
_cell_length_c 15.785
_cell_angle_alpha 90.00
_cell_angle_beta 90.00
_cell_angle_gamma 90.00
loop_
_atom_site_label
_atom_site_fract_x
_atom_site_fract_y
_atom_site_fract_z
Ta1 0.000 0.000 0.102
Ta2 0.000 0.000 0.305
V1 0.000 0.000 0.500
Tc1 0.500 0.500 0.000
Tc2 0.500 0.500 0.203
Tc3 0.500 0.500 0.406
# Calculated formation energy (eV/f.u.): -4.50
# Magnetization (μB/f.u.): 0.00
# Calculated total energy (eV per atom): -11.29

5.
# PBE TePdWN2, optimized geometry
data_TePdWN2
_chemical_formula_sum 'Te1 Pd1 W1 N2'
_symmetry_space_group_name_H-M 'P 4/m m m'
_symmetry_Int_Tables_number 123
_symmetry_space_group_name_Hall '-P 4 2'
_cell_length_a 3.890
_cell_length_b 3.890
_cell_length_c 5.861
_cell_angle_alpha 90.00
_cell_angle_beta 90.00
_cell_angle_gamma 90.00
loop_
_atom_site_label
_atom_site_fract_x
_atom_site_fract_y
_atom_site_fract_z
Te1 0.000 0.000 0.000
Pd1 0.500 0.500 0.000
W1 0.000 0.000 0.500
N1 0.000 0.500 0.500
# Polymorph energy (0 for the lowest one) (kJ/mol of formula units): 0
# Magnetization (μB/f.u.): 0.00
# Calculated total energy (eV per atom): -7.16
# Formation energy from raw total energies (eV per atom): 0.4252

6.
# PBE PrDy2Ag2, optimized geometry
data_PrDy2Ag2
_chemical_formula_sum 'Pr2 Dy4 Ag4'
_symmetry_space_group_name_H-M 'P 1 21/m 1'
_symmetry_Int_Tables_number 11
_symmetry_space_group_name_Hall '-P 2yb'
_cell_length_a 3.666
_cell_length_b 5.366
_cell_length_c 13.720
_cell_angle_alpha 90.00
_cell_angle_beta 97.65
_cell_angle_gamma 90.00
loop_
_atom_site_label
_atom_site_fract_x
_atom_site_fract_y
_atom_site_fract_z
Pr1 0.145 0.250 0.290
Dy1 0.048 0.750 0.095
Dy2 0.235 0.750 0.469
Ag1 0.357 0.250 0.715
Ag2 0.457 0.750 0.913
# Polymorph energy (0 for the lowest one) (kJ/mol of formula units): 0
# Calculated formation energy (eV/f.u.): -1.08
# Magnetization (μB/f.u.): 0.00
# Calculated total energy (eV per atom): -4.15

7.
# PBE CePaB2, optimized geometry
data_CePaB2
_chemical_formula_sum 'Ce3 Pa3 B6'
_symmetry_space_group_name_H-M 'R -3 m'
_symmetry_Int_Tables_number 166
_symmetry_space_group_name_Hall '-R 3 2"'
_cell_length_a 3.7448
_cell_length_b 3.7448
_cell_length_c 18.3624
_cell_angle_alpha 90.00
_cell_angle_beta 90.00
_cell_angle_gamma 120.00
loop_
_atom_site_label
_atom_site_fract_x
_atom_site_fract_y
_atom_site_fract_z
Ce1 0.0000 0.0000 0.0000
Pa1 0.0000 0.0000 0.5000
B1 0.0000 0.0000 0.2436
# Calculated formation energy (eV/f.u.): 0.62
# Magnetization (μB/f.u.): 0.00
# Calculated total energy (eV per atom): -7.04

8.
# PBE CePmSbBr, optimized geometry
data_CePmSbBr
_chemical_formula_sum 'Ce4 Pm4 Sb4 Br4'
_symmetry_space_group_name_H-M 'F -4 3 m'
_symmetry_Int_Tables_number 216
_symmetry_space_group_name_Hall 'F -4 2 3'
_cell_length_a 7.618
_cell_length_b 7.618
_cell_length_c 7.618
_cell_angle_alpha 90.00
_cell_angle_beta 90.00
_cell_angle_gamma 90.00
loop_
_atom_site_label
_atom_site_fract_x
_atom_site_fract_y
_atom_site_fract_z
Ce1 0.000 0.000 0.000
Pm1 0.000 0.000 0.500
Sb1 0.250 0.250 0.250
Br1 0.250 0.250 0.750
# Magnetization (μB/f.u.): 1.95
# Calculated total energy (eV per atom): -5.17
# Formation energy from raw total energies (eV per atom): -1.0471